Below is crystalline MnSi2Te at its relaxed geometry, with properties calculated at the PBE level.

Output
For the magnetization, the calculation gives 3.89 μB/cell. Its formation energy without anion corrections is 0.6060 eV/atom. The crystal system is tetragonal. The density of states at the Fermi level comes out at 0.596 states/eV/atom.

Unit cell a=4.6650 b=4.6650 c=3.4406 alpha=90.00 beta=90.00 gamma=90.00
Fractional positions:
Mn  0.0000  0.0000  0.0000
Si  0.0000  0.5000  0.5000
Si  0.5000  0.0000  0.5000
Te  0.5000  0.5000  0.0000